Below is a relaxed structure of Er2ScPt, with properties calculated at the PBE level.

Cell lengths 6.298, 6.298, 9.001 Å; angles 90.00, 90.00, 146.24 degrees
Fractional coordinates of all 8 atoms:
Er 0.134 0.866 0.562
Er 0.134 0.866 0.938
Er 0.866 0.134 0.062
Er 0.866 0.134 0.438
Sc 0.433 0.567 0.750
Sc 0.567 0.433 0.250
Pt 0.245 0.755 0.250
Pt 0.755 0.245 0.750

Energy of formation from the pure elements (meV per atom): -678
Excess energy over the best structure of this formula in the dataset (eV per atom): 0.0000
Total DFT energy (no corrections) (eV per atom): -6.052
Calculated density (g/cm³): 9.620
Total moment (μB/atom): 0.001

---

Below is a relaxed structure of KRb2HgH, with properties calculated at the PBE level.

Cell lengths 5.880, 5.880, 5.553 Å; angles 90.00, 90.00, 90.00 degrees
Fractional coordinates of all 5 atoms:
K 0.000 0.000 0.000
Rb 0.000 0.500 0.500
Rb 0.500 0.000 0.500
Hg 0.500 0.500 0.000
H 0.000 0.000 0.500

Excess energy over the best structure of this formula in the dataset (eV per atom): 0.0000
Total DFT energy (no corrections) (eV per atom): -1.425
Calculated density (g/cm³): 3.560
Total moment (μB/atom): 0.000

---

Below is a relaxed structure of Tc5Os4, with properties calculated at the PBE level.

Cell lengths 6.124, 6.124, 6.124 Å; angles 95.71, 95.71, 143.21 degrees
Fractional coordinates of all 9 atoms:
Tc 0.000 0.000 0.000
Tc 0.332 0.332 0.664
Tc 0.332 0.668 0.000
Tc 0.668 0.332 0.000
Tc 0.668 0.668 0.336
Os 0.000 0.335 0.335
Os 0.000 0.665 0.665
Os 0.335 0.000 0.335
Os 0.665 0.000 0.665

Energy of formation from the pure elements (meV per atom): 71
Excess energy over the best structure of this formula in the dataset (eV per atom): 0.0000
Total DFT energy (no corrections) (eV per atom): -10.679
Calculated density (g/cm³): 15.916
Total moment (μB/atom): 0.000

---

Below is a relaxed structure of ZrTiBe2Se, with properties calculated at the PBE level.

Cell lengths 4.262, 4.262, 5.007 Å; angles 90.00, 90.00, 90.00 degrees
Fractional coordinates of all 5 atoms:
Zr 0.000 0.000 0.000
Ti 0.500 0.500 0.000
Be 0.000 0.500 0.500
Be 0.500 0.000 0.500
Se 0.000 0.000 0.500

Energy relative to the elements, uncorrected (eV/atom): 0.656
Total DFT energy (no corrections) (eV per atom): -4.820
Calculated density (g/cm³): 4.311
Total moment (μB/atom): 0.000

---

Below is a relaxed structure of Nb3ZnAu, with properties calculated at the PBE level.

Cell lengths 8.544, 8.544, 6.171 Å; angles 103.38, 103.38, 23.46 degrees
Fractional coordinates of all 10 atoms:
Nb 0.000 0.000 0.245
Nb 0.000 0.000 0.755
Nb 0.203 0.203 0.347
Nb 0.397 0.397 0.946
Nb 0.603 0.603 0.054
Nb 0.797 0.797 0.653
Zn 0.203 0.203 0.865
Zn 0.797 0.797 0.135
Au 0.391 0.391 0.430
Au 0.609 0.609 0.570

Energy of formation from the pure elements (meV per atom): -68
Excess energy over the best structure of this formula in the dataset (eV per atom): 0.0265
Total DFT energy (no corrections) (eV per atom): -7.020
Calculated density (g/cm³): 10.313
Total moment (μB/atom): 0.000

---

Below is a relaxed structure of PrTlCdSn, with properties calculated at the PBE level.

Cell lengths 5.408, 5.408, 5.408 Å; angles 60.00, 60.00, 60.00 degrees
Fractional coordinates of all 4 atoms:
Pr 0.000 0.000 0.000
Tl 0.750 0.750 0.750
Cd 0.500 0.500 0.500
Sn 0.250 0.250 0.250

Energy of formation from the pure elements (meV per atom): -230
Excess energy over the best structure of this formula in the dataset (eV per atom): 0.1940
Total DFT energy (no corrections) (eV per atom): -3.246
Calculated density (g/cm³): 8.557
Total moment (μB/atom): 0.000

---

- Which value of total DFT energy (no corrections) does entry 3 give?
  -10.679 eV per atom